Entry 1:
# MgHgRh2, PBEsol geometry, DFT meta-GGA SCAN
data_MgHgRh2
_symmetry_space_group_name_H-M 'P 1'
_symmetry_Int_Tables_number 1
_cell_length_a 2.8886
_cell_length_b 2.8886
_cell_length_c 9.1316
_cell_angle_alpha 80.90
_cell_angle_beta 80.90
_cell_angle_gamma 60.00
loop_
_symmetry_equiv_pos_as_xyz
'x,y,z'
loop_
_atom_site_label
_atom_site_type_symbol
_atom_site_fract_x
_atom_site_fract_y
_atom_site_fract_z
Rh1 Rh 0.0022 0.0022 0.9935
Rh2 Rh 0.7436 0.7436 0.7693
Hg1 Hg 0.4974 0.4974 0.5079
Mg1 Mg 0.2569 0.2569 0.2293
# E_tot	-35.12	eV/atom
# total magnetization	0.0	μB/cell
# space-group type	R3m, No. 160


Entry 2:
# MgHgRh2, PBEsol geometry, DFT meta-GGA SCAN
data_MgHgRh2
_symmetry_space_group_name_H-M 'P 1'
_symmetry_Int_Tables_number 1
_cell_length_a 2.8930
_cell_length_b 4.7400
_cell_length_c 4.8962
_cell_angle_alpha 100.59
_cell_angle_beta 90.00
_cell_angle_gamma 107.77
loop_
_symmetry_equiv_pos_as_xyz
'x,y,z'
loop_
_atom_site_label
_atom_site_type_symbol
_atom_site_fract_x
_atom_site_fract_y
_atom_site_fract_z
Mg1 Mg 0.5000 0.0000 0.0000
Hg1 Hg 0.0000 0.0000 0.5000
Rh1 Rh 0.7539 0.5078 0.7618
Rh2 Rh 0.2461 0.4922 0.2382
# E_tot	-35.31	eV/atom
# total magnetization	0.0	μB/cell
# space-group type	C2/m, No. 12


Entry 3:
# Mg2HgRu, PBEsol geometry, DFT meta-GGA SCAN
data_Mg2HgRu
_symmetry_space_group_name_H-M 'P 1'
_symmetry_Int_Tables_number 1
_cell_length_a 4.5447
_cell_length_b 4.5447
_cell_length_c 4.5447
_cell_angle_alpha 60.00
_cell_angle_beta 60.00
_cell_angle_gamma 60.00
loop_
_symmetry_equiv_pos_as_xyz
'x,y,z'
loop_
_atom_site_label
_atom_site_type_symbol
_atom_site_fract_x
_atom_site_fract_y
_atom_site_fract_z
Ru1 Ru 0.5000 0.5000 0.5000
Mg1 Mg 0.7500 0.7500 0.7500
Mg2 Mg 0.2500 0.2500 0.2500
Hg1 Hg 0.0000 0.0000 0.0000
# E_tot	-28.34	eV/atom
# total magnetization	0.0	μB/cell
# space-group type	Fm-3m, No. 225


Entry 4:
# Mg2HgRu, PBEsol geometry, DFT meta-GGA SCAN
data_Mg2HgRu
_symmetry_space_group_name_H-M 'P 1'
_symmetry_Int_Tables_number 1
_cell_length_a 2.9594
_cell_length_b 4.1285
_cell_length_c 5.6965
_cell_angle_alpha 90.00
_cell_angle_beta 90.00
_cell_angle_gamma 90.00
loop_
_symmetry_equiv_pos_as_xyz
'x,y,z'
loop_
_atom_site_label
_atom_site_type_symbol
_atom_site_fract_x
_atom_site_fract_y
_atom_site_fract_z
Ru1 Ru 0.0000 0.0000 0.4787
Mg1 Mg 0.0000 0.0000 0.9909
Mg2 Mg 0.5000 0.5000 0.2796
Hg1 Hg 0.5000 0.5000 0.7508
# E_tot	-28.21	eV/atom
# total magnetization	0.7	μB/cell
# space-group type	Pmm2, No. 25


Entry 5:
# MgHg2Ru, PBEsol geometry, DFT meta-GGA SCAN
data_MgHg2Ru
_symmetry_space_group_name_H-M 'P 1'
_symmetry_Int_Tables_number 1
_cell_length_a 4.6031
_cell_length_b 4.6031
_cell_length_c 4.6488
_cell_angle_alpha 119.68
_cell_angle_beta 119.68
_cell_angle_gamma 90.00
loop_
_symmetry_equiv_pos_as_xyz
'x,y,z'
loop_
_atom_site_label
_atom_site_type_symbol
_atom_site_fract_x
_atom_site_fract_y
_atom_site_fract_z
Ru1 Ru 0.5000 0.5000 0.0000
Mg1 Mg 0.0000 0.0000 0.0000
Hg1 Hg 0.2500 0.7500 0.5000
Hg2 Hg 0.7500 0.2500 0.5000
# E_tot	-43.86	eV/atom
# total magnetization	0.0	μB/cell
# space-group type	I4/mmm, No. 139


Entry 6:
# MgHgS2, PBEsol geometry, DFT meta-GGA SCAN
data_MgHgS2
_symmetry_space_group_name_H-M 'P 1'
_symmetry_Int_Tables_number 1
_cell_length_a 3.9362
_cell_length_b 3.9362
_cell_length_c 7.4787
_cell_angle_alpha 74.74
_cell_angle_beta 74.74
_cell_angle_gamma 60.00
loop_
_symmetry_equiv_pos_as_xyz
'x,y,z'
loop_
_atom_site_label
_atom_site_type_symbol
_atom_site_fract_x
_atom_site_fract_y
_atom_site_fract_z
S1 S 0.8917 0.8917 0.3249
S2 S 0.1083 0.1083 0.6751
Hg1 Hg 0.0000 0.0000 0.0000
Mg1 Mg 0.5000 0.5000 0.5000
# polymorph energy (0 for the lowest one)	16	meV/atom
# formation energy (no corrections)	-873	meV/atom
# total magnetization	0.0	μB/cell
# space-group type	R-3m, No. 166


Entry 7:
# MgHgS2, PBEsol geometry, DFT meta-GGA SCAN
data_MgHgS2
_symmetry_space_group_name_H-M 'P 1'
_symmetry_Int_Tables_number 1
_cell_length_a 5.7429
_cell_length_b 5.7429
_cell_length_c 7.0830
_cell_angle_alpha 113.92
_cell_angle_beta 113.92
_cell_angle_gamma 90.00
loop_
_symmetry_equiv_pos_as_xyz
'x,y,z'
loop_
_atom_site_label
_atom_site_type_symbol
_atom_site_fract_x
_atom_site_fract_y
_atom_site_fract_z
S1 S 0.1250 0.1405 0.7500
S2 S 0.8595 0.3750 0.2500
S3 S 0.3905 0.8750 0.2500
S4 S 0.6250 0.6095 0.7500
Hg1 Hg 0.0000 0.0000 0.0000
Hg2 Hg 0.2500 0.7500 0.5000
Mg1 Mg 0.5000 0.5000 0.0000
Mg2 Mg 0.7500 0.2500 0.5000
# polymorph energy (0 for the lowest one)	0	meV/atom
# formation energy (no corrections)	-889	meV/atom
# total magnetization	0.0	μB/cell
# space-group type	I-42d, No. 122


Entry 8:
# MgHgW2S, PBEsol geometry, DFT meta-GGA SCAN
data_MgHgW2S
_symmetry_space_group_name_H-M 'P 1'
_symmetry_Int_Tables_number 1
_cell_length_a 4.6742
_cell_length_b 4.7647
_cell_length_c 4.7647
_cell_angle_alpha 90.00
_cell_angle_beta 90.00
_cell_angle_gamma 90.00
loop_
_symmetry_equiv_pos_as_xyz
'x,y,z'
loop_
_atom_site_label
_atom_site_type_symbol
_atom_site_fract_x
_atom_site_fract_y
_atom_site_fract_z
S1 S 0.5000 0.5000 0.5000
W1 W 0.0000 0.0000 0.5000
W2 W 0.0000 0.5000 0.0000
Mg1 Mg 0.0000 0.0000 0.0000
Hg1 Hg 0.5000 0.0000 0.0000
# formation energy (no corrections)	2568	meV/atom
# total magnetization	4.5	μB/cell
# space-group type	P4/mmm, No. 123